# Hg8Cl (GGA-PBE, optimized geometry)
data_Hg8Cl
_cell_length_a 9.370
_cell_length_b 9.370
_cell_length_c 5.777
_cell_angle_alpha 90.00
_cell_angle_beta 90.00
_cell_angle_gamma 90.00
_space_group_name_H-M_alt 'I 4/m m m'
_space_group_IT_number 139
_space_group_name_Hall '-I 4 2'
loop_
_atom_site_label
_atom_site_fract_x
_atom_site_fract_y
_atom_site_fract_z
Hg1 0.000 0.330 0.000
Hg2 0.166 0.166 0.500
Cl1 0.000 0.000 0.000
# theoretical density = 10.74 g/cm3
# ΔE_f (raw) = -0.079 eV/atom
# magnetic moment = 0.0 μB per formula unit

=====

# Hg2Cl (GGA-PBE, optimized geometry)
data_Hg2Cl
_cell_length_a 5.803
_cell_length_b 5.803
_cell_length_c 9.797
_cell_angle_alpha 90.00
_cell_angle_beta 90.00
_cell_angle_gamma 90.00
_space_group_name_H-M_alt 'I 4/m c m'
_space_group_IT_number 140
_space_group_name_Hall '-I 4 2c'
loop_
_atom_site_label
_atom_site_fract_x
_atom_site_fract_y
_atom_site_fract_z
Hg1 0.179 0.321 0.000
Cl1 0.000 0.000 0.250
# theoretical density = 8.79 g/cm3
# ΔE_f (raw) = -0.176 eV/atom
# magnetic moment = 0.0 μB per formula unit

=====

# Hg2Cl (GGA-PBE, optimized geometry)
data_Hg2Cl
_cell_length_a 4.8751
_cell_length_b 4.8751
_cell_length_c 4.2598
_cell_angle_alpha 90.00
_cell_angle_beta 90.00
_cell_angle_gamma 120.00
_space_group_name_H-M_alt 'P 6/m m m'
_space_group_IT_number 191
_space_group_name_Hall '-P 6 2'
loop_
_atom_site_label
_atom_site_fract_x
_atom_site_fract_y
_atom_site_fract_z
Hg1 0.3333 0.6667 0.0000
Cl1 0.0000 0.0000 0.5000
# theoretical density = 8.27 g/cm3
# ΔE_f (raw) = -0.155 eV/atom
# magnetic moment = 0.0 μB per formula unit

=====

# HgCl (GGA-PBE, optimized geometry)
data_HgCl
_cell_length_a 12.277
_cell_length_b 3.892
_cell_length_c 7.958
_cell_angle_alpha 90.00
_cell_angle_beta 90.00
_cell_angle_gamma 90.00
_space_group_name_H-M_alt 'P m n 21'
_space_group_IT_number 31
_space_group_name_Hall 'P 2ac -2'
loop_
_atom_site_label
_atom_site_fract_x
_atom_site_fract_y
_atom_site_fract_z
Hg1 0.000 0.020 0.000
Hg2 0.110 0.027 0.645
Cl1 0.000 0.007 0.330
Cl2 0.250 0.474 0.143
# theoretical density = 6.19 g/cm3
# ΔE_f (raw) = -0.346 eV/atom
# magnetic moment = 0.0 μB per formula unit

=====

# Hg2Cl (GGA-PBE, optimized geometry)
data_Hg2Cl
_cell_length_a 4.011
_cell_length_b 21.807
_cell_length_c 3.870
_cell_angle_alpha 90.00
_cell_angle_beta 90.00
_cell_angle_gamma 90.00
_space_group_name_H-M_alt 'C m c m'
_space_group_IT_number 63
_space_group_name_Hall '-C 2c 2'
loop_
_atom_site_label
_atom_site_fract_x
_atom_site_fract_y
_atom_site_fract_z
Hg1 0.000 0.049 0.250
Hg2 0.000 0.274 0.750
Cl1 0.000 0.388 0.250
# theoretical density = 8.57 g/cm3
# ΔE_f (raw) = -0.226 eV/atom
# magnetic moment = 0.0 μB per formula unit

=====

# Hg2Cl (GGA-PBE, optimized geometry)
data_Hg2Cl
_cell_length_a 4.2248
_cell_length_b 4.2248
_cell_length_c 10.9258
_cell_angle_alpha 90.00
_cell_angle_beta 90.00
_cell_angle_gamma 120.00
_space_group_name_H-M_alt 'P 63/m m c'
_space_group_IT_number 194
_space_group_name_Hall '-P 6c 2c'
loop_
_atom_site_label
_atom_site_fract_x
_atom_site_fract_y
_atom_site_fract_z
Hg1 0.3333 0.6667 0.0735
Cl1 0.0000 0.0000 0.2500
# theoretical density = 8.59 g/cm3
# ΔE_f (raw) = -0.239 eV/atom
# magnetic moment = 0.0 μB per formula unit